Entry 1:
The following is a DFT calculation (PBE) of a geometry-optimized Na4Cd2Hg5 structure.

Output
Total magnetic moment in μB/f.u.: 0.00
E in eV per cell: -10.60
ΔE_f in meV per atom: -180

a = 3.3355 Å, b = 7.9908 Å, c = 10.5463 Å
α = 94.39°, β = 90.00°, γ = 90.00°
Fractional coordinates of all 11 atoms:
Hg1 0.0000 0.4330 0.7036
Na1 0.5000 0.7080 0.5605
Cd1 0.0000 0.9394 0.3644
Cd2 0.0000 0.0606 0.6356
Na2 0.5000 0.8328 0.1033
Na3 0.5000 0.2920 0.4395
Hg2 0.0000 0.1945 0.1662
Na4 0.5000 0.1672 0.8967
Hg3 0.0000 0.5000 0.0000
Hg4 0.0000 0.8055 0.8338
Hg5 0.0000 0.5670 0.2964



Entry 2:
The following is a DFT calculation (PBE) of a geometry-optimized PuInPb2O6 structure.

Output
Total magnetic moment in μB/f.u.: 3.00
E in eV per cell: -144.17
ΔE_f (raw) in meV per atom: -1785

a = 5.9135 Å, b = 6.0235 Å, c = 8.5298 Å
α = 90.00°, β = 90.06°, γ = 90.00°
Each line ends with the local moment (μB).
Fractional coordinates of all 20 atoms:
Pu1 0.5000 0.0000 0.5000  3.38
O1 0.7991 0.8042 0.5359  -0.07
Pb1 0.5016 0.4640 0.2453  0.01
O2 0.2009 0.1958 0.4641  -0.07
O3 0.2991 0.6958 0.0359  -0.07
O4 0.3050 0.7117 0.4573  -0.08
O5 0.5856 0.0284 0.2506  -0.05
O6 0.9144 0.5284 0.2494  -0.05
In1 0.5000 0.0000 0.0000  0.00
O7 0.1950 0.2117 0.0427  -0.08
In2 0.0000 0.5000 0.5000  0.00
Pb2 0.0016 0.0360 0.7453  0.01
O8 0.6950 0.2883 0.5427  -0.08
O9 0.8050 0.7883 0.9573  -0.08
Pu2 0.0000 0.5000 0.0000  3.38
Pb3 0.4984 0.5360 0.7547  0.01
Pb4 0.9984 0.9640 0.2547  0.01
O10 0.7009 0.3042 0.9641  -0.07
O11 0.0856 0.4716 0.7506  -0.05
O12 0.4144 0.9716 0.7494  -0.05



Entry 3:
The following is a DFT calculation (PBE) of a geometry-optimized CaPm2Hf structure.

Output
E above lowest polymorph in meV per atom: 0
Total magnetic moment in μB/f.u.: 0.00
E in eV per cell: -20.89
ΔE_f in meV per atom: 141

a = 3.5300 Å, b = 3.5300 Å, c = 10.2711 Å
α = 90.00°, β = 90.00°, γ = 90.00°
Fractional coordinates of all 4 atoms:
Pm1 0.0000 0.0000 0.7837
Ca1 0.5000 0.5000 0.5000
Pm2 0.0000 0.0000 0.2163
Hf1 0.5000 0.5000 0.0000



Entry 4:
The following is a DFT calculation (PBE) of a geometry-optimized U6SiGe structure.

Output
Total magnetic moment in μB/f.u.: 3.88
E in eV per cell: -76.48
ΔE_f (raw) in meV per atom: 161

a = 4.6804 Å, b = 4.6804 Å, c = 8.1709 Å
α = 81.36°, β = 81.36°, γ = 80.76°
Each line ends with the local moment (μB).
Fractional coordinates of all 8 atoms:
U1 0.9464 0.4862 0.7199  0.79
U2 0.4862 0.9464 0.7199  0.79
U3 0.5138 0.0536 0.2801  0.79
U4 0.0536 0.5138 0.2801  0.79
Ge1 0.5000 0.5000 0.5000  -0.01
U5 0.4117 0.4117 0.8770  0.34
U6 0.5883 0.5883 0.1230  0.34
Si1 0.0000 0.0000 0.0000  -0.01



Entry 5:
The following is a DFT calculation (PBE) of a geometry-optimized NdDy2Hg structure.

Output
E above lowest polymorph in meV per atom: 81
Total magnetic moment in μB/f.u.: 0.00
E in eV per cell: -14.88
ΔE_f in meV per atom: -152

a = 3.6681 Å, b = 3.6681 Å, c = 10.7969 Å
α = 80.22°, β = 80.22°, γ = 60.00°
Fractional coordinates of all 4 atoms:
Hg1 0.6665 0.6665 0.0005
Nd1 0.5001 0.5001 0.4998
Dy1 0.0743 0.0743 0.7772
Dy2 0.2592 0.2592 0.2225



Entry 6:
The following is a DFT calculation (PBE) of a geometry-optimized RbTbP2O6 structure.

Output
Total magnetic moment in μB/f.u.: 0.00
E in eV per cell: -143.57
ΔE_f (raw) in meV per atom: -2562

a = 6.7710 Å, b = 6.7710 Å, c = 11.0127 Å
α = 111.73°, β = 111.73°, γ = 110.26°
Fractional coordinates of all 20 atoms:
O1 0.4846 0.9724 0.8094
P1 0.6917 0.9338 0.1833
P2 0.0662 0.3083 0.3167
O2 0.3803 0.2313 0.9853
O3 0.6197 0.7687 0.0147
Rb1 0.1664 0.8336 0.2500
P3 0.3083 0.0662 0.8167
O4 0.2053 0.2921 0.2327
O5 0.5154 0.0276 0.1906
O6 0.7687 0.6197 0.5147
O7 0.9724 0.4846 0.3094
O8 0.2313 0.3803 0.4853
O9 0.2921 0.2053 0.7327
O10 0.7947 0.7079 0.7673
Rb2 0.8336 0.1664 0.7500
O11 0.0276 0.5154 0.6906
Tb1 0.4187 0.5813 0.7500
Tb2 0.5813 0.4187 0.2500
P4 0.9338 0.6917 0.6833
O12 0.7079 0.7947 0.2673



Entry 7:
The following is a DFT calculation (PBE) of a geometry-optimized Zn2Au structure.

Output
Total magnetic moment in μB/f.u.: 0.00
E in eV per cell: -6.15
ΔE_f in meV per atom: -108

a = 6.0758 Å, b = 6.0758 Å, c = 6.0758 Å
α = 152.57°, β = 152.57°, γ = 39.18°
Fractional coordinates of all 3 atoms:
Zn1 0.1717 0.1717 0.0000
Au1 0.5000 0.5000 0.0000
Zn2 0.8283 0.8283 0.0000



Entry 8:
The following is a DFT calculation (PBE) of a geometry-optimized Cs3PuU3S8 structure.

Output
Total magnetic moment in μB/f.u.: 13.00
E in eV per cell: -105.59
ΔE_f (raw) in meV per atom: -1454

a = 8.1377 Å, b = 8.1381 Å, c = 9.4508 Å
α = 115.51°, β = 90.01°, γ = 120.00°
Each line ends with the local moment (μB).
Fractional coordinates of all 15 atoms:
U1 0.0000 0.5000 0.5000  2.42
S1 0.7715 0.0517 0.3232  -0.08
Cs1 0.0000 0.5000 0.0000  0.01
S2 0.2285 0.9483 0.6768  -0.08
S3 0.7715 0.5429 0.3232  -0.08
S4 0.2802 0.0517 0.3232  -0.08
S5 0.7198 0.9483 0.6768  -0.08
S6 0.7271 0.4542 0.6812  -0.06
Cs2 0.0000 0.0000 0.0000  0.01
U2 0.5000 0.0000 0.5000  2.42
U3 0.5000 0.5000 0.5000  2.42
Pu1 0.0000 0.0000 0.5000  5.20
S7 0.2285 0.4571 0.6768  -0.08
S8 0.2729 0.5458 0.3188  -0.06
Cs3 0.5000 0.5000 0.0000  0.01



Entry 9:
The following is a DFT calculation (PBE) of a geometry-optimized CoRu2W structure.

Output
E above lowest polymorph in meV per atom: 1298
Total magnetic moment in μB/f.u.: 0.00
E in eV per cell: -67.04
ΔE_f in meV per atom: 1272

a = 5.5765 Å, b = 5.5765 Å, c = 6.3872 Å
α = 64.12°, β = 64.12°, γ = 90.00°
Fractional coordinates of all 8 atoms:
Ru1 0.5977 0.1250 0.2500
Ru2 0.3750 0.4023 0.7500
Co1 0.2500 0.7500 0.5000
Ru3 0.8750 0.8477 0.7500
Co2 0.5000 0.5000 0.0000
W1 0.0000 0.0000 0.0000
W2 0.7500 0.2500 0.5000
Ru4 0.1523 0.6250 0.2500



Entry 10:
The following is a DFT calculation (PBE) of a geometry-optimized Ag2Pt structure.

Output
E above lowest polymorph in meV per atom: 341
Total magnetic moment in μB/f.u.: 0.00
E in eV per cell: -43.05
ΔE_f in meV per atom: 327

a = 5.3530 Å, b = 5.3530 Å, c = 8.4967 Å
α = 90.00°, β = 90.00°, γ = 120.00°
Fractional coordinates of all 12 atoms:
Ag1 0.0000 0.0000 0.0000
Pt1 0.3333 0.6667 0.0694
Ag2 0.0000 0.0000 0.5000
Ag3 0.3436 0.1718 0.2500
Ag4 0.6564 0.8282 0.7500
Ag5 0.8282 0.1718 0.2500
Pt2 0.6667 0.3333 0.5694
Ag6 0.8282 0.6564 0.2500
Pt3 0.6667 0.3333 0.9306
Ag7 0.1718 0.8282 0.7500
Pt4 0.3333 0.6667 0.4306
Ag8 0.1718 0.3436 0.7500



Entry 11:
The following is a DFT calculation (PBE) of a geometry-optimized Rb5Sn2Se6 structure.

Output
Total magnetic moment in μB/f.u.: 0.00
E in eV per cell: -91.12
ΔE_f (raw) in meV per atom: -908

a = 8.3171 Å, b = 8.3171 Å, c = 17.9677 Å
α = 80.28°, β = 80.28°, γ = 65.33°
Fractional coordinates of all 26 atoms:
Se1 0.0686 0.0386 0.6264
Rb1 0.6695 0.3305 0.2500
Rb2 0.6979 0.2364 0.0006
Rb3 0.3305 0.6695 0.7500
Se2 0.6232 0.7897 0.5799
Rb4 0.2889 0.0307 0.2698
Se3 0.6677 0.6181 0.8563
Se4 0.7897 0.6232 0.0799
Sn1 0.1091 0.3406 0.0726
Se5 0.6181 0.6677 0.3563
Sn2 0.8909 0.6594 0.9274
Rb5 0.3021 0.7636 0.9994
Se6 0.0386 0.0686 0.1264
Se7 0.3819 0.3323 0.6437
Rb6 0.9693 0.7111 0.2302
Rb7 0.7111 0.9693 0.7302
Rb8 0.7636 0.3021 0.4994
Rb9 0.2364 0.6979 0.5006
Se8 0.3323 0.3819 0.1437
Rb10 0.0307 0.2889 0.7698
Se9 0.3768 0.2103 0.4201
Sn3 0.3406 0.1091 0.5726
Se10 0.2103 0.3768 0.9201
Se11 0.9614 0.9314 0.8736
Sn4 0.6594 0.8909 0.4274
Se12 0.9314 0.9614 0.3736



Entry 12:
The following is a DFT calculation (PBE) of a geometry-optimized Ta4FeCo structure.

Output
E above lowest polymorph in meV per atom: 0
Total magnetic moment in μB/f.u.: 0.00
E in eV per cell: -64.12
ΔE_f in meV per atom: -191

a = 4.9973 Å, b = 4.9973 Å, c = 4.9973 Å
α = 104.86°, β = 104.86°, γ = 119.15°
Fractional coordinates of all 6 atoms:
Fe1 0.0000 0.0000 0.0000
Ta1 0.4126 0.5874 0.5000
Ta2 0.0874 0.9126 0.5000
Co1 0.5000 0.5000 0.0000
Ta3 0.5874 0.0874 0.1748
Ta4 0.9126 0.4126 0.8252



Entry 13:
The following is a DFT calculation (PBE) of a geometry-optimized Tb2CdTe4 structure.

Output
E above lowest polymorph in meV per atom: 0
Total magnetic moment in μB/f.u.: 0.00
E in eV per cell: -61.16
ΔE_f (raw) in meV per atom: -1120

a = 8.9663 Å, b = 8.9663 Å, c = 8.9693 Å
α = 59.98°, β = 59.98°, γ = 89.97°
Fractional coordinates of all 14 atoms:
Te1 0.7328 0.2441 0.5116
Cd1 0.1249 0.3751 0.2500
Tb1 0.0000 0.0000 0.0000
Te2 0.2555 0.2443 0.9886
Tb2 0.5000 0.0000 0.0000
Te3 0.7441 0.2328 0.0116
Cd2 0.8751 0.6249 0.7500
Te4 0.2672 0.7559 0.4884
Te5 0.7445 0.7557 0.0114
Tb3 0.5000 0.0000 0.5000
Te6 0.7443 0.7555 0.4886
Tb4 0.5000 0.5000 0.5000
Te7 0.2557 0.2445 0.5114
Te8 0.2559 0.7672 0.9884



Entry 14:
The following is a DFT calculation (PBE) of a geometry-optimized Zr3HgN structure.

Output
Total magnetic moment in μB/f.u.: 0.00
E in eV per cell: -36.70
ΔE_f (raw) in meV per atom: -485

a = 3.3064 Å, b = 5.7910 Å, c = 5.7910 Å
α = 110.30°, β = 90.00°, γ = 90.00°
Fractional coordinates of all 5 atoms:
Hg1 0.0000 0.6532 0.3468
N1 0.5000 0.0167 0.9833
Zr1 0.5000 0.6387 0.8336
Zr2 0.5000 0.1664 0.3613
Zr3 0.0000 0.1532 0.8468



Entry 15:
The following is a DFT calculation (PBE) of a geometry-optimized Pm4Sm7In structure.

Output
E above lowest polymorph in meV per atom: 0
Total magnetic moment in μB/f.u.: 0.00
E in eV per cell: -54.44
ΔE_f in meV per atom: 28

a = 6.4765 Å, b = 5.6863 Å, c = 11.7132 Å
α = 75.96°, β = 78.83°, γ = 89.99°
Fractional coordinates of all 12 atoms:
Sm1 0.1890 0.4539 0.0922
Sm2 0.8110 0.5461 0.9078
Sm3 0.9955 0.8632 0.2729
Pm1 0.8946 0.7076 0.5850
Sm4 0.4334 0.7905 0.4194
Pm2 0.6540 0.3860 0.2279
In1 0.0000 0.0000 0.0000
Pm3 0.3460 0.6140 0.7721
Pm4 0.1054 0.2924 0.4150
Sm5 0.5666 0.2095 0.5806
Sm6 0.0045 0.1368 0.7271
Sm7 0.5000 0.0000 0.0000



Entry 16:
The following is a DFT calculation (PBE) of a geometry-optimized Th2OsC structure.

Output
E above lowest polymorph in meV per atom: 0
Total magnetic moment in μB/f.u.: 0.00
E in eV per cell: -72.61
ΔE_f in meV per atom: -252

a = 3.9386 Å, b = 3.9070 Å, c = 11.2561 Å
α = 99.99°, β = 90.00°, γ = 90.00°
Fractional coordinates of all 8 atoms:
Os1 0.7500 0.5466 0.0933
Os2 0.2500 0.4534 0.9067
Th1 0.7500 0.9252 0.8504
Th2 0.7500 0.6925 0.3849
C1 0.2500 0.1950 0.3900
C2 0.7500 0.8050 0.6100
Th3 0.2500 0.3075 0.6151
Th4 0.2500 0.0748 0.1496



Entry 17:
The following is a DFT calculation (PBE) of a geometry-optimized Pm2TlAg3 structure.

Output
E above lowest polymorph in meV per atom: 0
Total magnetic moment in μB/f.u.: 0.00
E in eV per cell: -44.03
ΔE_f in meV per atom: -266

a = 6.0072 Å, b = 6.0072 Å, c = 9.9090 Å
α = 114.17°, β = 114.17°, γ = 69.46°
Fractional coordinates of all 12 atoms:
Ag1 0.1649 0.1649 0.3298
Tl1 0.6663 0.6663 0.3327
Ag2 0.8349 0.8349 0.1639
Ag3 0.3290 0.3290 0.1639
Pm1 0.2500 0.7500 0.5000
Ag4 0.6710 0.6710 0.8361
Tl2 0.3337 0.3337 0.6673
Ag5 0.8351 0.8351 0.6702
Pm2 0.7553 0.2447 0.0000
Pm3 0.2447 0.7553 0.0000
Pm4 0.7500 0.2500 0.5000
Ag6 0.1651 0.1651 0.8361



Entry 18:
The following is a DFT calculation (PBE) of a geometry-optimized NaTc2AgO8 structure.

Output
Total magnetic moment in μB/f.u.: 0.00
E in eV per cell: -80.52
ΔE_f (raw) in meV per atom: -1329

a = 6.0189 Å, b = 6.0189 Å, c = 6.8173 Å
α = 90.00°, β = 90.00°, γ = 120.00°
Fractional coordinates of all 12 atoms:
Tc1 0.6667 0.3333 0.3147
O1 0.6667 0.3333 0.5678
Na1 0.0000 0.0000 0.5000
O2 0.8266 0.1734 0.2351
O3 0.3468 0.1734 0.2351
Ag1 0.0000 0.0000 0.0000
O4 0.3333 0.6667 0.4322
O5 0.1734 0.3468 0.7649
Tc2 0.3333 0.6667 0.6853
O6 0.6532 0.8266 0.7649
O7 0.1734 0.8266 0.7649
O8 0.8266 0.6532 0.2351



Entry 19:
The following is a DFT calculation (PBE) of a geometry-optimized SiPd2Se structure.

Output
Total magnetic moment in μB/f.u.: 0.00
E in eV per cell: -40.14
ΔE_f (raw) in meV per atom: -194

a = 4.4093 Å, b = 4.4093 Å, c = 8.2619 Å
α = 74.52°, β = 74.52°, γ = 90.00°
Fractional coordinates of all 8 atoms:
Pd1 0.8750 0.8423 0.7500
Pd2 0.3750 0.4077 0.7500
Si1 0.2500 0.7500 0.5000
Se1 0.0000 0.0000 0.0000
Pd3 0.5923 0.1250 0.2500
Pd4 0.1577 0.6250 0.2500
Se2 0.7500 0.2500 0.5000
Si2 0.5000 0.5000 0.0000



Entry 20:
The following is a DFT calculation (PBE) of a geometry-optimized AcErNiHg structure.

Output
Total magnetic moment in μB/f.u.: 0.00
E in eV per cell: -15.68
ΔE_f in meV per atom: -232

a = 5.2809 Å, b = 5.2809 Å, c = 5.2809 Å
α = 60.00°, β = 60.00°, γ = 60.00°
Fractional coordinates of all 4 atoms:
Ac1 0.2500 0.2500 0.2500
Ni1 0.0000 0.0000 0.0000
Hg1 0.5000 0.5000 0.5000
Er1 0.7500 0.7500 0.7500



no.,theoretical density (g cm⁻³)
1,7.82
2,9.50
3,6.60
4,14.66
5,9.02
6,3.70
7,11.46
8,5.70
9,9.46
10,12.94
11,3.42
12,14.82
13,6.13
14,7.80
15,7.08
16,12.97
17,9.36
18,3.53
19,7.14
20,10.42